(1)
This record from Alexandria via LeMat-Bulk describes crystalline Li3GeIr at its relaxed geometry. The functional is PBE.

Summary:
- electronic total energy (eV/atom) = -3.0494
- ΔE to the lowest computed polymorph (meV/atom) = 998.9
- DFT formation energy (eV/atom) = 0.795
- total magnetization (μB/f.u.) = 0.0

a = 4.4177 Å, b = 4.4177 Å, c = 4.4177 Å
α = 90.00°, β = 90.00°, γ = 90.00°
Last column: nearest neighbours and their distance in Å.
Space group Pm-3m (No. 221)
Unique sites:
Li 0.0000 0.0000 0.5000 (multiplicity 3)  2 Ge 2.21
Ge 0.0000 0.0000 0.0000 (multiplicity 1)  6 Li 2.21
Ir 0.5000 0.5000 0.5000 (multiplicity 1)  12 Li 3.12

***

(2)
This record from Alexandria via LeMat-Bulk describes crystalline TiMnCl6 at its relaxed geometry. The functional is PBE.

Summary:
- electronic total energy (eV/atom) = -4.8171
- ΔE to the lowest computed polymorph (meV/atom) = 38.0
- formation energy from raw total energies (meV per atom) = -1299.1
- total magnetization (μB/f.u.) = 5.0

a = 6.2443 Å, b = 6.2443 Å, c = 16.7198 Å
α = 90.00°, β = 90.00°, γ = 120.00°
Last column: nearest neighbours and their distance in Å.
Space group R-3 (No. 148, hexagonal axes)
Unique sites:
Ti 0.0000 0.0000 0.0000 (multiplicity 3)  6 Cl 2.37
Mn 0.0000 0.0000 0.5000 (multiplicity 3)  6 Cl 2.52
Cl 0.0137 0.3656 0.7477 (multiplicity 18)  1 Ti 2.37, 1 Mn 2.52

***

(3)
This record from Alexandria via LeMat-Bulk describes crystalline TbSmNp2As4 at its relaxed geometry. The functional is PBE.

Summary:
- electronic total energy (eV/atom) = -7.8078
- DFT formation energy (eV/atom) = -1.079
- total magnetization (μB/f.u.) = 0.0

a = 7.1747 Å, b = 4.1177 Å, c = 7.1792 Å
α = 90.00°, β = 109.25°, γ = 90.00°
Last column: nearest neighbours and their distance in Å.
Space group P2/m (No. 10)
Unique sites:
Tb 0.0000 0.0000 0.0000 (multiplicity 1)  6 As 2.94
Sm 0.5000 0.5000 0.0000 (multiplicity 1)  6 As 2.96
Np 0.0000 0.5000 0.5000 (multiplicity 1)  6 As 2.89
Np 0.5000 0.0000 0.5000 (multiplicity 1)  6 As 2.91
As 0.2453 0.0000 0.7428 (multiplicity 2)  3 Np 2.89-2.91, 1 Tb 2.94, 2 Sm 2.96
As 0.2494 0.5000 0.2553 (multiplicity 2)  3 Np 2.89-2.91, 2 Tb 2.94, 1 Sm 2.96

***

(4)
This record from Alexandria via LeMat-Bulk describes crystalline SrCdRe2 at its relaxed geometry. The functional is PBE.

Summary:
- electronic total energy (eV/atom) = -5.9364
- DFT formation energy (eV/atom) = 0.937
- total magnetization (μB/f.u.) = 0.0

a = 2.8148 Å, b = 5.3138 Å, c = 5.4614 Å
α = 90.00°, β = 94.70°, γ = 90.00°
Last column: nearest neighbours and their distance in Å.
Space group P2/m (No. 10)
Unique sites:
Sr 0.0000 0.0000 0.0000 (multiplicity 1)  2 Sr 2.81, 2 Cd 2.97, 4 Re 3.12
Cd 0.5000 0.0000 0.5000 (multiplicity 1)  2 Cd 2.81, 2 Sr 2.97, 4 Re 3.11
Re 0.3608 0.5000 0.7804 (multiplicity 2)  1 Re 2.46

***

(5)
This record from Alexandria via LeMat-Bulk describes crystalline DyTmNi at its relaxed geometry. The functional is PBE.

Summary:
- electronic total energy (eV/atom) = -5.1278
- ΔE to the lowest computed polymorph (meV/atom) = 129.9
- DFT formation energy (eV/atom) = -0.176
- total magnetization (μB/f.u.) = 0.0

a = 3.9013 Å, b = 3.9013 Å, c = 6.0551 Å
α = 90.00°, β = 90.00°, γ = 120.00°
Last column: nearest neighbours and their distance in Å.
Space group P3m1 (No. 156)
Unique sites:
Dy 0.0000 0.0000 0.0000 (multiplicity 1)  3 Ni 2.70
Tm 0.3333 0.6667 0.4799 (multiplicity 1)  3 Ni 2.66
Ni 0.6667 0.3333 0.2452 (multiplicity 1)  3 Tm 2.66, 3 Dy 2.70

***

(6)
This record from Alexandria via LeMat-Bulk describes crystalline BaTc2I at its relaxed geometry. The functional is PBE.

Summary:
- electronic total energy (eV/atom) = -4.7513
- ΔE to the lowest computed polymorph (meV/atom) = 571.4
- formation energy from raw total energies (meV per atom) = 1299.9
- total magnetization (μB/f.u.) = 0.0

a = 6.9646 Å, b = 6.9646 Å, c = 6.9646 Å
α = 90.00°, β = 90.00°, γ = 90.00°
Last column: nearest neighbours and their distance in Å.
Space group Fm-3m (No. 225)
Unique sites:
Ba 0.0000 0.0000 0.0000 (multiplicity 4)  8 Tc 3.02
Tc 0.2500 0.2500 0.2500 (multiplicity 8)  4 Ba 3.02, 4 I 3.02
I 0.0000 0.0000 0.5000 (multiplicity 4)  8 Tc 3.02

***

(7)
This record from Alexandria via LeMat-Bulk describes crystalline Ga3Ag2 at its relaxed geometry. The functional is PBE.

Summary:
- electronic total energy (eV/atom) = -2.9128
- DFT formation energy (eV/atom) = 0.044
- total magnetization (μB/f.u.) = 0.0

a = 12.7929 Å, b = 4.7187 Å, c = 8.0265 Å
α = 90.00°, β = 127.63°, γ = 90.00°
Last column: nearest neighbours and their distance in Å.
Space group C2/c (No. 15)
Unique sites:
Ga 0.0000 0.2173 0.2500 (multiplicity 4)  6 Ag 2.70-2.86, 2 Ga 2.74
Ga 0.2243 0.4958 0.5672 (multiplicity 8)  2 Ag 2.63-2.75, 3 Ga 2.74-2.87
Ag 0.0573 0.2621 0.6371 (multiplicity 8)  5 Ga 2.63-2.86, 1 Ag 2.84

***

(8)
This record from Alexandria via LeMat-Bulk describes crystalline Rb6Tl2O at its relaxed geometry. The functional is PBE.

Summary:
- electronic total energy (eV/atom) = -2.0170
- formation energy from raw total energies (meV per atom) = -295.2
- total magnetization (μB/f.u.) = 0.0

a = 9.8018 Å, b = 4.2578 Å, c = 10.6527 Å
α = 90.00°, β = 91.30°, γ = 90.00°
Last column: nearest neighbours and their distance in Å.
Space group P2/m (No. 10)
Unique sites:
Rb 0.0260 0.0000 0.1715 (multiplicity 2)  2 O 2.81
Rb 0.2802 0.5000 0.5140 (multiplicity 2)  4 Tl 3.98, 3 Rb 4.26-4.33
Rb 0.2823 0.5000 0.9780 (multiplicity 2)  1 O 2.78
Tl 0.4752 0.0000 0.2590 (multiplicity 2)  8 Rb 3.98-4.10, 2 Tl 4.26
O 0.0000 0.5000 0.0000 (multiplicity 1)  6 Rb 2.78-2.81

***

(9)
This record from Alexandria via LeMat-Bulk describes crystalline ZrScZnPd at its relaxed geometry. The functional is PBE.

Summary:
- electronic total energy (eV/atom) = -5.8724
- DFT formation energy (eV/atom) = -0.536
- total magnetization (μB/f.u.) = 0.0

a = 3.3403 Å, b = 3.3403 Å, c = 6.6480 Å
α = 90.00°, β = 90.00°, γ = 90.00°
Last column: nearest neighbours and their distance in Å.
Space group P4mm (No. 99)
Unique sites:
Zr 0.0000 0.0000 0.0000 (multiplicity 1)  4 Zn 2.90, 4 Pd 2.92
Sc 0.0000 0.0000 0.5017 (multiplicity 1)  4 Pd 2.85, 4 Zn 2.88
Zn 0.5000 0.5000 0.2527 (multiplicity 1)  4 Sc 2.88, 4 Zr 2.90
Pd 0.5000 0.5000 0.7428 (multiplicity 1)  4 Sc 2.85, 4 Zr 2.92

***

(10)
This record from Alexandria via LeMat-Bulk describes crystalline Ca2La3Pr4 at its relaxed geometry. The functional is PBE.

Summary:
- electronic total energy (eV/atom) = -4.1595
- DFT formation energy (eV/atom) = 0.052
- total magnetization (μB/f.u.) = 0.0

a = 6.5074 Å, b = 6.5074 Å, c = 9.8726 Å
α = 89.64°, β = 70.83°, γ = 60.13°
Last column: nearest neighbours and their distance in Å.
Space group P-1 (No. 2)
Unique sites:
Ca 0.0554 0.3888 0.1664 (multiplicity 2)  5 La 3.69-3.82, 6 Pr 3.72-3.83, 1 Ca 3.72
La 0.3755 0.7225 0.1716 (multiplicity 2)  6 Pr 3.67-3.85, 4 Ca 3.69-3.82, 2 La 3.71-3.79
La 0.5000 0.5000 0.5000 (multiplicity 1)  8 Pr 3.68-3.80, 2 La 3.71, 2 Ca 3.75
Pr 0.1734 0.1544 0.4998 (multiplicity 2)  5 Pr 3.67-3.90, 5 La 3.67-3.80, 2 Ca 3.77-3.80
Pr 0.2841 0.9339 0.8272 (multiplicity 2)  3 Pr 3.67-3.83, 5 La 3.68-3.85, 4 Ca 3.72-3.83

***

(11)
This record from Alexandria via LeMat-Bulk describes crystalline Hf2MnCdAs at its relaxed geometry. The functional is PBE.

Summary:
- electronic total energy (eV/atom) = -5.4523
- ΔE to the lowest computed polymorph (meV/atom) = 525.6
- DFT formation energy (eV/atom) = 1.476
- total magnetization (μB/f.u.) = 0.5

a = 5.1371 Å, b = 5.1371 Å, c = 4.6207 Å
α = 90.00°, β = 90.00°, γ = 90.00°
Last column: nearest neighbours and their distance in Å.
Space group P4/mmm (No. 123)
Unique sites:
Hf 0.0000 0.5000 0.0000 (multiplicity 2)  2 Cd 2.57
Mn 0.0000 0.0000 0.5000 (multiplicity 1)  2 Cd 2.31
Cd 0.0000 0.0000 0.0000 (multiplicity 1)  2 Mn 2.31, 4 Hf 2.57
As 0.5000 0.5000 0.5000 (multiplicity 1)  8 Hf 3.45, 4 Mn 3.63

***

(12)
This record from Alexandria via LeMat-Bulk describes crystalline FeAg5 at its relaxed geometry. The functional is PBE.

Summary:
- electronic total energy (eV/atom) = -3.2547
- ΔE to the lowest computed polymorph (meV/atom) = 314.4
- DFT formation energy (eV/atom) = 0.532
- total magnetization (μB/f.u.) = 3.4

a = 5.3456 Å, b = 5.3456 Å, c = 4.7998 Å
α = 90.00°, β = 90.00°, γ = 120.00°
Last column: nearest neighbours and their distance in Å.
Space group P6/mmm (No. 191)
Unique sites:
Fe 0.0000 0.0000 0.0000 (multiplicity 1)  6 Ag 3.09
Ag 0.0000 0.5000 0.5000 (multiplicity 3)  8 Ag 2.67-2.85
Ag 0.3333 0.6667 0.0000 (multiplicity 2)  9 Ag 2.85-3.09, 3 Fe 3.09